Here is Pm2SnHg at its PBEsol-relaxed geometry from Alexandria. Energies are from SCAN.

Properties
Raw total energy (eV/cell): -780.34

CIF file:
```
data_Pm2SnHg
_chemical_formula_sum 'Pm8 Sn4 Hg4'
_cell_length_a 7.5149
_cell_length_b 7.5149
_cell_length_c 7.5149
_cell_angle_alpha 90.00
_cell_angle_beta 90.00
_cell_angle_gamma 90.00
_symmetry_space_group_name_H-M 'F m -3 m'
_symmetry_Int_Tables_number 225
_symmetry_space_group_name_Hall '-F 4 2 3'
loop_
_atom_site_label
_atom_site_fract_x
_atom_site_fract_y
_atom_site_fract_z
Pm1 0.2500 0.2500 0.2500
Sn1 0.0000 0.0000 0.0000
Hg1 0.0000 0.0000 0.5000
```

Here is Fe2TcPt at its PBEsol-relaxed geometry from Alexandria. Energies are from SCAN.

Properties
Raw total energy (eV/cell): -283.93
Excess energy over the best structure of this formula in the dataset (eV per atom): 0.000

CIF file:
```
data_Fe2TcPt
_chemical_formula_sum 'Fe4 Tc2 Pt2'
_cell_length_a 3.6484
_cell_length_b 3.6484
_cell_length_c 7.5354
_cell_angle_alpha 90.00
_cell_angle_beta 90.00
_cell_angle_gamma 90.00
_symmetry_space_group_name_H-M 'I -4 m 2'
_symmetry_Int_Tables_number 119
_symmetry_space_group_name_Hall 'I -4 -2'
loop_
_atom_site_label
_atom_site_fract_x
_atom_site_fract_y
_atom_site_fract_z
Fe1 0.0000 0.0000 0.0000
Fe2 0.0000 0.5000 0.2500
Tc1 0.0000 0.0000 0.5000
Pt1 0.0000 0.5000 0.7500
```

Here is Li2CdPb at its PBEsol-relaxed geometry from Alexandria. Energies are from SCAN.

Properties
Raw total energy (eV/cell): -112.03
Excess energy over the best structure of this formula in the dataset (eV per atom): 0.111

CIF file:
```
data_Li2CdPb
_chemical_formula_sum 'Li2 Cd1 Pb1'
_cell_length_a 3.5916
_cell_length_b 3.5916
_cell_length_c 6.3675
_cell_angle_alpha 90.00
_cell_angle_beta 90.00
_cell_angle_gamma 90.00
_symmetry_space_group_name_H-M 'P 4 m m'
_symmetry_Int_Tables_number 99
loop_
_symmetry_equiv_pos_as_xyz
'x,y,z'
'-y,x,z'
'-x,-y,z'
'y,-x,z'
'-x,y,z'
'y,x,z'
'x,-y,z'
'-y,-x,z'
loop_
_atom_site_label
_atom_site_fract_x
_atom_site_fract_y
_atom_site_fract_z
Li1 0.0000 0.0000 0.0000
Li2 0.5000 0.5000 0.2515
Cd1 0.5000 0.5000 0.7952
Pb1 0.0000 0.0000 0.4923
```

Here is Ta2NiW at its PBEsol-relaxed geometry from Alexandria. Energies are from SCAN.

Properties
Raw total energy (eV/cell): -218.70

CIF file:
```
data_Ta2NiW
_chemical_formula_sum 'Ta2 Ni1 W1'
_cell_length_a 3.3512
_cell_length_b 4.1941
_cell_length_c 4.3695
_cell_angle_alpha 90.00
_cell_angle_beta 90.00
_cell_angle_gamma 90.00
_symmetry_space_group_name_H-M 'P m m m'
_symmetry_Int_Tables_number 47
loop_
_symmetry_equiv_pos_as_xyz
'x,y,z'
'-x,-y,-z'
'-x,-y,z'
'x,y,-z'
'x,-y,-z'
'-x,y,z'
'-x,y,-z'
'x,-y,z'
loop_
_atom_site_label
_atom_site_fract_x
_atom_site_fract_y
_atom_site_fract_z
Ta1 0.0000 0.0000 0.0000
Ta2 0.5000 0.0000 0.5000
Ni1 0.0000 0.5000 0.5000
W1 0.5000 0.5000 0.0000
```

Here is KBNF2 at its PBEsol-relaxed geometry from Alexandria. Energies are from SCAN.

Properties
Raw formation energy (eV per atom): -1.3883
Raw total energy (eV/cell): -39.07

CIF file:
```
data_KBNF2
_chemical_formula_sum 'K1 B1 N1 F2'
_cell_length_a 4.4050
_cell_length_b 4.4050
_cell_length_c 2.7888
_cell_angle_alpha 90.00
_cell_angle_beta 90.00
_cell_angle_gamma 90.00
_symmetry_space_group_name_H-M 'P 4/m m m'
_symmetry_Int_Tables_number 123
_symmetry_space_group_name_Hall '-P 4 2'
loop_
_atom_site_label
_atom_site_fract_x
_atom_site_fract_y
_atom_site_fract_z
K1 0.0000 0.0000 0.0000
B1 0.5000 0.5000 0.5000
N1 0.5000 0.5000 0.0000
F1 0.0000 0.5000 0.5000
```

Here is KLi2Mn at its PBEsol-relaxed geometry from Alexandria. Energies are from SCAN.

Properties
Raw total energy (eV/cell): -59.55
Excess energy over the best structure of this formula in the dataset (eV per atom): 0.083

CIF file:
```
data_KLi2Mn
_chemical_formula_sum 'K2 Li4 Mn2'
_cell_length_a 7.5993
_cell_length_b 7.8789
_cell_length_c 3.1994
_cell_angle_alpha 90.00
_cell_angle_beta 90.00
_cell_angle_gamma 90.00
_symmetry_space_group_name_H-M 'C m m m'
_symmetry_Int_Tables_number 65
_symmetry_space_group_name_Hall '-C 2 2'
loop_
_atom_site_label
_atom_site_fract_x
_atom_site_fract_y
_atom_site_fract_z
K1 0.0000 0.0000 0.0000
Li1 0.2500 0.2500 0.5000
Mn1 0.0000 0.5000 0.0000
```

Here is KRbP2 at its PBEsol-relaxed geometry from Alexandria. Energies are from SCAN.

Properties
Raw total energy (eV/cell): -192.77

CIF file:
```
data_KRbP2
_chemical_formula_sum 'K4 Rb4 P8'
_cell_length_a 7.6040
_cell_length_b 7.6040
_cell_length_c 7.6040
_cell_angle_alpha 90.00
_cell_angle_beta 90.00
_cell_angle_gamma 90.00
_symmetry_space_group_name_H-M 'F m -3 m'
_symmetry_Int_Tables_number 225
_symmetry_space_group_name_Hall '-F 4 2 3'
loop_
_atom_site_label
_atom_site_fract_x
_atom_site_fract_y
_atom_site_fract_z
K1 0.0000 0.0000 0.0000
Rb1 0.0000 0.0000 0.5000
P1 0.2500 0.2500 0.2500
```

Here is Cu3Pt at its PBEsol-relaxed geometry from Alexandria. Energies are from SCAN.

Properties
Raw total energy (eV/cell): -348.81

CIF file:
```
data_Cu3Pt
_chemical_formula_sum 'Cu9 Pt3'
_cell_length_a 4.4310
_cell_length_b 7.9099
_cell_length_c 4.4861
_cell_angle_alpha 90.00
_cell_angle_beta 108.90
_cell_angle_gamma 90.00
_symmetry_space_group_name_H-M 'P 1 2 1'
_symmetry_Int_Tables_number 3
loop_
_symmetry_equiv_pos_as_xyz
'x,y,z'
'-x,y,-z'
loop_
_atom_site_label
_atom_site_fract_x
_atom_site_fract_y
_atom_site_fract_z
Cu1 0.0000 0.0000 0.0000
Cu2 0.0000 0.1538 0.5000
Cu3 0.0000 0.3229 0.0000
Cu4 0.0000 0.4980 0.5000
Cu5 0.0000 0.6664 0.0000
Cu6 0.0000 0.8304 0.5000
Cu7 0.5000 0.1605 0.0000
Cu8 0.5000 0.6645 0.5000
Cu9 0.5000 0.9947 0.5000
Pt1 0.5000 0.3195 0.5000
Pt2 0.5000 0.4968 0.0000
Pt3 0.5000 0.8365 0.0000
```

Here is HfGaTe2 at its PBEsol-relaxed geometry from Alexandria. Energies are from SCAN.

Properties
Raw formation energy (eV per atom): -0.0597
Raw total energy (eV/cell): -615.04

CIF file:
```
data_HfGaTe2
_chemical_formula_sum 'Hf4 Ga4 Te8'
_cell_length_a 6.9635
_cell_length_b 6.9635
_cell_length_c 11.3609
_cell_angle_alpha 90.00
_cell_angle_beta 90.00
_cell_angle_gamma 90.00
_symmetry_space_group_name_H-M 'I -4 2 d'
_symmetry_Int_Tables_number 122
_symmetry_space_group_name_Hall 'I -4 2bw'
loop_
_atom_site_label
_atom_site_fract_x
_atom_site_fract_y
_atom_site_fract_z
Hf1 0.0000 0.0000 0.0000
Ga1 0.0000 0.0000 0.5000
Te1 0.2276 0.2500 0.1250
```

Here is NaCrSi2O6 at its PBEsol-relaxed geometry from Alexandria. Energies are from SCAN.

Properties
Raw formation energy (eV per atom): -2.8344
Raw total energy (eV/cell): -433.45

CIF file:
```
data_NaCrSi2O6
_chemical_formula_sum 'Na4 Cr4 Si8 O24'
_cell_length_a 9.6002
_cell_length_b 8.7020
_cell_length_c 5.2833
_cell_angle_alpha 90.00
_cell_angle_beta 107.69
_cell_angle_gamma 90.00
_symmetry_space_group_name_H-M 'C 1 2/c 1'
_symmetry_Int_Tables_number 15
loop_
_symmetry_equiv_pos_as_xyz
'x,y,z'
'-x,-y,-z'
'-x,y,-z+1/2'
'x,-y,z+1/2'
'x+1/2,y+1/2,z'
'-x+1/2,-y+1/2,-z'
'-x+1/2,y+1/2,-z+1/2'
'x+1/2,-y+1/2,z+1/2'
loop_
_atom_site_label
_atom_site_fract_x
_atom_site_fract_y
_atom_site_fract_z
Na1 0.0000 0.2011 0.2500
Cr1 0.0000 0.4087 0.7500
Si1 0.2079 0.0924 0.7691
O1 0.1123 0.4203 0.1356
O2 0.1397 0.2613 0.6985
O3 0.1460 0.0088 0.9924
```

Here is LiCa3Ni at its PBEsol-relaxed geometry from Alexandria. Energies are from SCAN.

Properties
Raw total energy (eV/cell): -47.52

CIF file:
```
data_LiCa3Ni
_chemical_formula_sum 'Li1 Ca3 Ni1'
_cell_length_a 5.4020
_cell_length_b 5.4020
_cell_length_c 5.4020
_cell_angle_alpha 90.00
_cell_angle_beta 90.00
_cell_angle_gamma 90.00
_symmetry_space_group_name_H-M 'P m -3 m'
_symmetry_Int_Tables_number 221
_symmetry_space_group_name_Hall '-P 4 2 3'
loop_
_atom_site_label
_atom_site_fract_x
_atom_site_fract_y
_atom_site_fract_z
Li1 0.0000 0.0000 0.0000
Ca1 0.0000 0.5000 0.5000
Ni1 0.5000 0.5000 0.5000
```

Here is I2O3F6 at its PBEsol-relaxed geometry from Alexandria. Energies are from SCAN.

Properties
Raw formation energy (eV per atom): -1.0609
Raw total energy (eV/cell): -500.35

CIF file:
```
data_I2O3F6
_chemical_formula_sum 'I8 O12 F24'
_cell_length_a 9.8764
_cell_length_b 8.8750
_cell_length_c 9.0552
_cell_angle_alpha 90.00
_cell_angle_beta 116.68
_cell_angle_gamma 90.00
_symmetry_space_group_name_H-M 'P 1 21/c 1'
_symmetry_Int_Tables_number 14
loop_
_symmetry_equiv_pos_as_xyz
'x,y,z'
'-x,-y,-z'
'-x,y+1/2,-z+1/2'
'x,-y+1/2,z+1/2'
loop_
_atom_site_label
_atom_site_fract_x
_atom_site_fract_y
_atom_site_fract_z
I1 0.0619 0.2338 0.4224
I2 0.3179 0.5799 0.1643
O1 0.0551 0.2217 0.6124
O2 0.1566 0.6068 0.2078
O3 0.2283 0.0404 0.4841
F1 0.0572 0.5891 0.6517
F2 0.2332 0.1384 0.0017
F3 0.2802 0.7455 0.5385
F4 0.3928 0.0795 0.8123
F5 0.4344 0.7026 0.3432
F6 0.4977 0.5679 0.1459
```